Computed, not measured: a geometry-optimized NaPm2MnO6 structure at the PBE with a Hubbard U level of DFT.

Computed properties:
- total DFT energy (no corrections) (eV/f.u.) = -71.404
- magnetic moment (μB per cell) = 3.89
- symmetry = P2_1/c (14)
- volume (Å³ per cell) = 253.6

Cell lengths 5.485, 5.913, 9.444 Å; angles 90.00, 124.11, 90.00 degrees
Positions (direct):
Na: 0.000 0.000 0.000
Na: 0.000 0.500 0.500
Pm: 0.223 0.074 0.745
Pm: 0.223 0.426 0.245
Pm: 0.777 0.574 0.755
Pm: 0.777 0.926 0.255
Mn: 0.500 0.000 0.500
Mn: 0.500 0.500 0.000
O: 0.161 0.170 0.449
O: 0.161 0.330 0.949
O: 0.268 0.723 0.430
O: 0.268 0.777 0.930
O: 0.392 0.051 0.272
O: 0.392 0.449 0.772
O: 0.608 0.551 0.228
O: 0.608 0.949 0.728
O: 0.732 0.223 0.070
O: 0.732 0.277 0.570
O: 0.839 0.670 0.051
O: 0.839 0.830 0.551